18
Lattice="-0.295 -7.847 0.017 9.689 -0.357 3.281 -6.874 4.198 4.792" Properties=species:S:1:pos:R:3 comment="PBE-GGA KLiTe, relaxed" dos_ef_per_ev_atom=0.000 density_kg_m3=3166 final_energy_ev_per_atom=-3.023 formation_energy_uncorrected_ev_per_atom=-0.972 total_magnetization_mub_per_fu=0.0 pbc="T T T"
K -3.789 -3.554 2.821
K 6.326 0.000 5.267
K 0.300 1.445 7.257
K 2.329 -2.574 0.827
K 1.479 0.174 3.634
K 1.058 -3.738 4.454
Li -0.004 -0.114 0.000
Li 4.840 -0.292 1.640
Li -1.648 -0.893 4.762
Li 4.096 -5.041 3.331
Li -0.754 -4.863 1.689
Li 3.202 -1.072 6.404
Te 2.199 -5.999 0.837
Te 0.172 -1.980 7.261
Te -0.801 -1.955 2.151
Te 3.467 1.821 5.930
Te -1.380 2.000 4.289
Te 4.045 -2.134 3.792